(1)
DFT (PBE) results for a relaxed NaPmAgBi crystal.

Output
The formation energy is -0.388 eV per atom. For the density of states at the Fermi level, the calculation gives 6.46 states/eV/cell.

a b c (Å): 7.575 7.575 7.575
angles (deg): 90.00 90.00 90.00
Space group F-43m (No. 216)
One atom of each set of equivalent atoms:
Na (0.000, 0.000, 0.000)
Pm (0.000, 0.000, 0.500)
Ag (0.250, 0.250, 0.750)
Bi (0.250, 0.250, 0.250)

(2)
DFT (PBE) results for a relaxed NaPrAgBi crystal.

Output
The formation energy is -0.397 eV per atom. For the density of states at the Fermi level, the calculation gives 6.37 states/eV/cell.

a b c (Å): 7.645 7.645 7.645
angles (deg): 90.00 90.00 90.00
Space group F-43m (No. 216)
One atom of each set of equivalent atoms:
Na (0.000, 0.000, 0.000)
Pr (0.000, 0.000, 0.500)
Ag (0.250, 0.250, 0.750)
Bi (0.250, 0.250, 0.250)

(3)
DFT (PBE) results for a relaxed NaAgBiPt crystal.

Output
The formation energy is -0.140 eV per atom. For the density of states at the Fermi level, the calculation gives 4.59 states/eV/cell.

a b c (Å): 6.863 6.863 6.863
angles (deg): 90.00 90.00 90.00
Space group F-43m (No. 216)
One atom of each set of equivalent atoms:
Na (0.000, 0.000, 0.000)
Ag (0.250, 0.250, 0.250)
Bi (0.250, 0.250, 0.750)
Pt (0.000, 0.000, 0.500)

(4)
DFT (PBE) results for a relaxed NaPuAgBi crystal.

Output
The formation energy is -0.141 eV per atom. For the density of states at the Fermi level, the calculation gives 60.90 states/eV/cell.

a b c (Å): 7.517 7.517 7.517
angles (deg): 90.00 90.00 90.00
Space group F-43m (No. 216)
One atom of each set of equivalent atoms:
Na (0.000, 0.000, 0.000)
Pu (0.000, 0.000, 0.500)
Ag (0.250, 0.250, 0.250)
Bi (0.250, 0.250, 0.750)

(5)
DFT (PBE) results for a relaxed RbNaAgBi crystal.

Output
The formation energy is -0.137 eV per atom. For the density of states at the Fermi level, the calculation gives 0.20 states/eV/cell.

a b c (Å): 7.800 7.800 7.800
angles (deg): 90.00 90.00 90.00
Space group F-43m (No. 216)
One atom of each set of equivalent atoms:
Rb (0.000, 0.000, 0.000)
Na (0.250, 0.250, 0.250)
Ag (0.250, 0.250, 0.750)
Bi (0.000, 0.000, 0.500)

(6)
DFT (PBE) results for a relaxed NaAgBi2S4 crystal.

Output
The uncorrected formation energy is -45 kJ per mole of atoms.

a b c (Å): 5.639 5.639 11.749
angles (deg): 90.00 90.00 90.00
Space group I-4m2 (No. 119)
One atom of each set of equivalent atoms:
Na (0.000, 0.000, 0.000)
Ag (0.000, 0.500, 0.750)
Bi (0.000, 0.000, 0.500)
Bi (0.000, 0.500, 0.250)
S (0.000, 0.000, 0.259)
S (0.000, 0.500, 0.008)

(7)
DFT (PBE) results for a relaxed NaAgBiS2 crystal.

Output
The uncorrected formation energy is -32 kJ per mole of atoms. For the density of states at the Fermi level, the calculation gives 3.52 states/eV/cell.

a b c (Å): 6.914 4.601 8.279
angles (deg): 90.00 102.54 90.00
Space group P2/c (No. 13)
One atom of each set of equivalent atoms:
Na (0.000, 0.157, 0.250)
Ag (0.500, 0.000, 0.000)
Bi (0.500, 0.490, 0.750)
S (0.222, 0.338, 0.953)

(8)
DFT (PBE) results for a relaxed NaScAg2Bi crystal.

Output
The formation energy is 0.503 eV per atom. For the density of states at the Fermi level, the calculation gives 4.20 states/eV/cell.

a b c (Å): 4.846 4.846 5.519
angles (deg): 90.00 90.00 90.00
Space group P4/mmm (No. 123)
One atom of each set of equivalent atoms:
Na (0.000, 0.000, 0.000)
Sc (0.500, 0.500, 0.500)
Ag (0.000, 0.500, 0.000)
Bi (0.000, 0.000, 0.500)

(9)
DFT (PBE) results for a relaxed NaAgBiSe3 crystal.

Output
The uncorrected formation energy is -36 kJ per mole of atoms. For the density of states at the Fermi level, the calculation gives 8.17 states/eV/cell.

a b c (Å): 8.717 4.173 9.547
angles (deg): 90.00 101.60 90.00
Space group P2_1/m (No. 11)
One atom of each set of equivalent atoms:
Na (0.167, 0.250, 0.183)
Ag (0.401, 0.750, 0.424)
Bi (0.315, 0.750, 0.843)
Se (0.096, 0.250, 0.862)
Se (0.281, 0.250, 0.518)
Se (0.419, 0.750, 0.138)

(10)
DFT (PBE) results for a relaxed NaAg2Bi3Se6 crystal.

Output
The uncorrected formation energy is -40 kJ per mole of atoms.

a b c (Å): 18.177 4.205 8.351
angles (deg): 90.00 102.78 90.00
Space group C2/m (No. 12)
One atom of each set of equivalent atoms:
Na (0.000, 0.000, 0.000)
Ag (0.165, 0.500, 0.330)
Bi (0.000, 0.000, 0.500)
Bi (0.167, 0.500, 0.831)
Se (0.003, 0.500, 0.255)
Se (0.169, 0.000, 0.089)
Se (0.170, 0.000, 0.578)

(11)
DFT (PBE) results for a relaxed Na2SmAgBi2 crystal.

Output
The formation energy is -0.475 eV per atom. For the density of states at the Fermi level, the calculation gives 1.07 states/eV/cell.

a b c (Å): 4.651 9.397 7.885
angles (deg): 90.00 90.00 90.00
Space group Pmc2_1 (No. 26)
One atom of each set of equivalent atoms:
Na (0.000, 0.067, 0.000)
Na (0.500, 0.167, 0.320)
Sm (0.500, 0.448, 0.926)
Ag (0.000, 0.322, 0.596)
Bi (0.000, 0.378, 0.212)
Bi (0.500, 0.161, 0.719)

(12)
DFT (PBE) results for a relaxed Na2TbAgBi2 crystal.

Output
The formation energy is -0.457 eV per atom. For the density of states at the Fermi level, the calculation gives 0.97 states/eV/cell.

a b c (Å): 4.618 9.383 7.790
angles (deg): 90.00 90.00 90.00
Space group Pmc2_1 (No. 26)
One atom of each set of equivalent atoms:
Na (0.000, 0.062, 0.000)
Na (0.500, 0.168, 0.314)
Tb (0.500, 0.450, 0.919)
Ag (0.000, 0.322, 0.588)
Bi (0.000, 0.379, 0.203)
Bi (0.500, 0.163, 0.719)

(13)
DFT (PBE) results for a relaxed Na2Ag2BiTe4 crystal.

Output
The uncorrected formation energy is -38 kJ per mole of atoms. For the density of states at the Fermi level, the calculation gives 6.50 states/eV/cell.

a b c (Å): 16.939 4.397 7.905
angles (deg): 90.00 115.14 90.00
Space group C2/m (No. 12)
One atom of each set of equivalent atoms:
Na (0.138, 0.000, 0.077)
Ag (0.190, 0.500, 0.484)
Bi (0.000, 0.000, 0.500)
Te (0.008, 0.500, 0.218)
Te (0.205, 0.000, 0.728)

(14)
DFT (PBE) results for a relaxed NaThAgBi crystal.

Output
The formation energy is -0.157 eV per atom. For the density of states at the Fermi level, the calculation gives 11.98 states/eV/cell.

a b c (Å): 7.593 7.593 7.593
angles (deg): 90.00 90.00 90.00
Space group F-43m (No. 216)
One atom of each set of equivalent atoms:
Na (0.000, 0.000, 0.000)
Th (0.000, 0.000, 0.500)
Ag (0.250, 0.250, 0.750)
Bi (0.250, 0.250, 0.250)

(15)
DFT (PBE) results for a relaxed NaTlAgBi crystal.

Output
The formation energy is -0.099 eV per atom. For the density of states at the Fermi level, the calculation gives 5.66 states/eV/cell.

a b c (Å): 7.444 7.444 7.444
angles (deg): 90.00 90.00 90.00
Space group F-43m (No. 216)
One atom of each set of equivalent atoms:
Na (0.000, 0.000, 0.000)
Tl (0.250, 0.250, 0.750)
Ag (0.000, 0.000, 0.500)
Bi (0.250, 0.250, 0.250)

(16)
DFT (PBE) results for a relaxed NaV2AgBi crystal.

Output
The formation energy is 1.601 eV per atom. For the density of states at the Fermi level, the calculation gives 7.28 states/eV/cell.

a b c (Å): 4.981 4.981 5.213
angles (deg): 90.00 90.00 90.00
Space group P4/mmm (No. 123)
One atom of each set of equivalent atoms:
Na (0.000, 0.000, 0.000)
V (0.000, 0.500, 0.000)
Ag (0.500, 0.500, 0.500)
Bi (0.000, 0.000, 0.500)

(17)
DFT (PBE) results for a relaxed NaZr2AgBi crystal.

Output
The formation energy is 0.859 eV per atom. For the density of states at the Fermi level, the calculation gives 7.53 states/eV/cell.

a b c (Å): 5.261 5.261 5.641
angles (deg): 90.00 90.00 90.00
Space group P4/mmm (No. 123)
One atom of each set of equivalent atoms:
Na (0.000, 0.000, 0.000)
Zr (0.000, 0.500, 0.500)
Ag (0.500, 0.500, 0.500)
Bi (0.500, 0.500, 0.000)

(18)
DFT (PBE) results for a relaxed NbAg2Bi crystal.

Output
The formation energy is 0.535 eV per atom. For the density of states at the Fermi level, the calculation gives 6.83 states/eV/cell.

a b c (Å): 7.882 7.882 5.687
angles (deg): 90.00 90.00 90.00
Space group I-42d (No. 122)
One atom of each set of equivalent atoms:
Nb (0.000, 0.000, 0.000)
Ag (0.243, 0.250, 0.125)
Bi (0.000, 0.000, 0.500)

(19)
DFT (PBE) results for a relaxed Nb2AgBi2 crystal.

Output
The formation energy is 0.283 eV per atom. The calculation puts the polymorph energy (0 for the lowest one) at 0.00 eV per formula unit. For the density of states at the Fermi level, the calculation gives 11.42 states/eV/cell.

a b c (Å): 7.739 7.739 3.777
angles (deg): 90.00 90.00 90.00
Space group P4/mbm (No. 127)
One atom of each set of equivalent atoms:
Nb (0.133, 0.367, 0.000)
Ag (0.000, 0.000, 0.000)
Bi (0.161, 0.661, 0.500)

(20)
DFT (PBE) results for a relaxed Nb2AgBi crystal.

Output
The formation energy is 0.658 eV per atom. For the density of states at the Fermi level, the calculation gives 3.48 states/eV/cell.

a b c (Å): 7.709 7.709 5.794
angles (deg): 90.00 90.00 90.00
Space group I-42d (No. 122)
One atom of each set of equivalent atoms:
Nb (0.247, 0.750, 0.125)
Ag (0.000, 0.000, 0.000)
Bi (0.000, 0.000, 0.500)

no.,calculated volume (A^3/atom)
1,27.17
2,27.92
3,20.20
4,26.55
5,29.66
6,23.35
7,25.70
8,25.92
9,28.35
10,25.93
11,28.72
12,28.13
13,29.61
14,27.36
15,25.78
16,25.86
17,31.23
18,22.08
19,22.63
20,21.52